1.
YHf2Br2 | PBE | optimized geometry

a = 4.4561 Å, b = 4.4561 Å, c = 13.2905 Å
α = 90.00°, β = 90.00°, γ = 90.00°
Space group I4/mmm (No. 139)
Inequivalent atoms, fractional coordinates:
1 Y 0.0000 0.0000 0.0000 x2
2 Hf 0.0000 0.0000 0.3918 x4
3 Br 0.0000 0.5000 0.2500 x4

Summary:
* Fermi-level density of states: 17.5 states/eV per cell

2.
YHf2Br2 | PBE | optimized geometry

a = 8.4939 Å, b = 8.4939 Å, c = 3.2485 Å
α = 90.00°, β = 90.00°, γ = 90.00°
Space group P4/mbm (No. 127)
Inequivalent atoms, fractional coordinates:
1 Y 0.0000 0.0000 0.0000 x2
2 Hf 0.1490 0.3510 0.0000 x4
3 Br 0.1374 0.6374 0.5000 x4

Summary:
* Fermi-level density of states: 7.8 states/eV per cell

Which structure is most stable? 1, by 319 meV/atom over the runner-up.